Entry 1:
# Li2Cu2Au5 GGA-PBE optimized geometry
# ΔE_f, eV per atom: -0.1264
# DOS(E_F), states/eV per atom: 0.254
data_Li2Cu2Au5
_cell_length_a 6.800
_cell_length_b 6.642
_cell_length_c 7.292
_cell_angle_alpha 117.10
_cell_angle_beta 90.00
_cell_angle_gamma 90.00
_symmetry_space_group_name_H-M 'P 1'
_symmetry_Int_Tables_number 1
_symmetry_space_group_name_Hall 'P 1'
loop_
_atom_site_label
_atom_site_type_symbol
_atom_site_fract_x
_atom_site_fract_y
_atom_site_fract_z
_atom_site_occupancy
Cu1 Cu 0.500 0.297 0.594 1
Au1 Au 0.328 0.971 0.277 1
Cu2 Cu 0.000 0.797 0.594 1
Li1 Li 0.631 0.869 0.000 1
Au2 Au 0.328 0.694 0.723 1
Au3 Au 0.672 0.029 0.723 1
Au4 Au 0.172 0.194 0.723 1
Cu3 Cu 0.500 0.703 0.406 1
Li2 Li 0.869 0.369 0.000 1
Au5 Au 0.672 0.306 0.277 1
Au6 Au 0.828 0.529 0.723 1
Au7 Au 0.000 0.000 0.000 1
Au8 Au 0.500 0.500 0.000 1
Li3 Li 0.131 0.631 0.000 1
Li4 Li 0.369 0.131 0.000 1
Cu4 Cu 0.000 0.203 0.406 1
Au9 Au 0.828 0.806 0.277 1
Au10 Au 0.172 0.471 0.277 1

Entry 2:
# Cs12Au5Cl3 GGA-PBE optimized geometry
# DOS(E_F), states/eV per atom: 0.516
# Formation energy (no corrections), eV per formula unit: -14.10
data_Cs12Au5Cl3
_cell_length_a 5.323
_cell_length_b 15.285
_cell_length_c 15.285
_cell_angle_alpha 120.00
_cell_angle_beta 90.00
_cell_angle_gamma 90.00
_symmetry_space_group_name_H-M 'P 1'
_symmetry_Int_Tables_number 1
_symmetry_space_group_name_Hall 'P 1'
loop_
_atom_site_label
_atom_site_type_symbol
_atom_site_fract_x
_atom_site_fract_y
_atom_site_fract_z
_atom_site_occupancy
Cl1 Cl 0.500 0.000 0.666 1
Cs1 Cs 0.500 0.549 0.741 1
Cs2 Cs 0.500 0.259 0.807 1
Cs3 Cs 0.000 0.000 0.824 1
Cs4 Cs 0.500 0.807 0.259 1
Cs5 Cs 0.500 0.741 0.549 1
Au1 Au 0.000 0.667 0.333 1
Cs6 Cs 0.000 0.176 0.176 1
Au2 Au 0.000 0.702 0.702 1
Cl2 Cl 0.500 0.334 0.334 1
Au3 Au 0.000 0.298 0.000 1
Cl3 Cl 0.500 0.666 0.000 1
Cs7 Cs 0.000 0.530 0.000 1
Cs8 Cs 0.000 0.470 0.470 1
Au4 Au 0.000 0.333 0.667 1
Cs9 Cs 0.000 0.000 0.530 1
Au5 Au 0.000 0.000 0.298 1
Cs10 Cs 0.000 0.824 0.000 1
Cs11 Cs 0.500 0.451 0.193 1
Cs12 Cs 0.500 0.193 0.451 1

Entry 3:
# Ce7Ga3 GGA-PBE optimized geometry
# ΔE_f, eV per atom: -0.3062
# DOS(E_F), states/eV per atom: 2.761
data_Ce7Ga3
_cell_length_a 4.529
_cell_length_b 6.524
_cell_length_c 9.058
_cell_angle_alpha 106.80
_cell_angle_beta 104.48
_cell_angle_gamma 90.00
_symmetry_space_group_name_H-M 'P 1'
_symmetry_Int_Tables_number 1
_symmetry_space_group_name_Hall 'P 1'
loop_
_atom_site_label
_atom_site_type_symbol
_atom_site_fract_x
_atom_site_fract_y
_atom_site_fract_z
_atom_site_occupancy
Ce1 Ce 0.420 0.213 0.840 1
Ga1 Ga 0.816 0.354 0.632 1
Ce2 Ce 0.580 0.787 0.160 1
Ce3 Ce 0.371 0.699 0.743 1
Ce4 Ce 0.629 0.301 0.257 1
Ce5 Ce 0.198 0.148 0.396 1
Ga2 Ga 0.000 0.000 0.000 1
Ga3 Ga 0.184 0.646 0.368 1
Ce6 Ce 0.802 0.852 0.604 1
Ce7 Ce 0.000 0.500 0.000 1

Entry 4:
# KBa4P GGA-PBE optimized geometry
# ΔE_f, eV per atom: 0.4472
# DOS(E_F), states/eV per atom: 1.439
data_KBa4P
_cell_length_a 7.506
_cell_length_b 7.506
_cell_length_c 7.506
_cell_angle_alpha 60.00
_cell_angle_beta 60.00
_cell_angle_gamma 60.00
_symmetry_space_group_name_H-M 'P 1'
_symmetry_Int_Tables_number 1
_symmetry_space_group_name_Hall 'P 1'
loop_
_atom_site_label
_atom_site_type_symbol
_atom_site_fract_x
_atom_site_fract_y
_atom_site_fract_z
_atom_site_occupancy
Ba1 Ba 0.882 0.373 0.373 1
P1 P 0.000 0.000 0.000 1
Ba2 Ba 0.373 0.373 0.373 1
Ba3 Ba 0.373 0.373 0.882 1
Ba4 Ba 0.373 0.882 0.373 1
K1 K 0.750 0.750 0.750 1

Entry 5:
# ZrNb4Ga2 GGA-PBE optimized geometry
# ΔE_f, eV per atom: -0.1931
# DOS(E_F), states/eV per atom: 0.781
data_ZrNb4Ga2
_cell_length_a 4.420
_cell_length_b 2.863
_cell_length_c 10.490
_cell_angle_alpha 100.04
_cell_angle_beta 102.16
_cell_angle_gamma 90.01
_symmetry_space_group_name_H-M 'P 1'
_symmetry_Int_Tables_number 1
_symmetry_space_group_name_Hall 'P 1'
loop_
_atom_site_label
_atom_site_type_symbol
_atom_site_fract_x
_atom_site_fract_y
_atom_site_fract_z
_atom_site_occupancy
Nb1 Nb 0.858 0.664 0.715 1
Nb2 Nb 0.282 0.893 0.565 1
Nb3 Nb 0.142 0.336 0.285 1
Nb4 Nb 0.718 0.107 0.435 1
Ga1 Ga 0.581 0.662 0.162 1
Zr1 Zr 0.000 0.000 0.000 1
Ga2 Ga 0.419 0.338 0.838 1

Entry 6:
# Ni2TeAs GGA-PBE optimized geometry
# DOS(E_F), states/eV per atom: 0.558
# Formation energy (no corrections), eV per formula unit: -0.01
data_Ni2TeAs
_cell_length_a 3.211
_cell_length_b 3.082
_cell_length_c 6.775
_cell_angle_alpha 90.03
_cell_angle_beta 90.00
_cell_angle_gamma 90.00
_symmetry_space_group_name_H-M 'P 1'
_symmetry_Int_Tables_number 1
_symmetry_space_group_name_Hall 'P 1'
loop_
_atom_site_label
_atom_site_type_symbol
_atom_site_fract_x
_atom_site_fract_y
_atom_site_fract_z
_atom_site_occupancy
As1 As 0.500 0.750 0.750 1
Te1 Te 0.500 0.250 0.250 1
Ni1 Ni 0.000 0.250 0.933 1
Ni2 Ni 0.000 0.250 0.567 1

Entry 7:
# GaRe3Sn GGA-PBE optimized geometry
# ΔE_f, eV per atom: 1.7841
# DOS(E_F), states/eV per atom: 1.692
data_GaRe3Sn
_cell_length_a 4.576
_cell_length_b 4.576
_cell_length_c 4.576
_cell_angle_alpha 90.00
_cell_angle_beta 90.00
_cell_angle_gamma 90.00
_symmetry_space_group_name_H-M 'P 1'
_symmetry_Int_Tables_number 1
_symmetry_space_group_name_Hall 'P 1'
loop_
_atom_site_label
_atom_site_type_symbol
_atom_site_fract_x
_atom_site_fract_y
_atom_site_fract_z
_atom_site_occupancy
Re1 Re 0.000 0.000 0.500 1
Re2 Re 0.000 0.500 0.000 1
Re3 Re 0.500 0.000 0.000 1
Ga1 Ga 0.000 0.000 0.000 1
Sn1 Sn 0.500 0.500 0.500 1

Entry 8:
# SrHo6Se8 GGA-PBE optimized geometry
# DOS(E_F), states/eV per atom: 0.437
# Formation energy (no corrections), eV per formula unit: -24.22
data_SrHo6Se8
_cell_length_a 7.845
_cell_length_b 7.845
_cell_length_c 7.845
_cell_angle_alpha 93.44
_cell_angle_beta 93.44
_cell_angle_gamma 93.44
_symmetry_space_group_name_H-M 'P 1'
_symmetry_Int_Tables_number 1
_symmetry_space_group_name_Hall 'P 1'
loop_
_atom_site_label
_atom_site_type_symbol
_atom_site_fract_x
_atom_site_fract_y
_atom_site_fract_z
_atom_site_occupancy
Se1 Se 0.237 0.237 0.237 1
Ho1 Ho 0.806 0.604 0.438 1
Se2 Se 0.763 0.763 0.763 1
Ho2 Ho 0.562 0.194 0.396 1
Ho3 Ho 0.438 0.806 0.604 1
Se3 Se 0.288 0.620 0.860 1
Se4 Se 0.620 0.860 0.288 1
Ho4 Ho 0.194 0.396 0.562 1
Se5 Se 0.712 0.380 0.140 1
Se6 Se 0.860 0.288 0.620 1
Se7 Se 0.380 0.140 0.712 1
Ho5 Ho 0.604 0.438 0.806 1
Se8 Se 0.140 0.712 0.380 1
Sr1 Sr 0.000 0.000 0.000 1
Ho6 Ho 0.396 0.562 0.194 1

Entry 9:
# SrPm2Hg9 GGA-PBE optimized geometry
# ΔE_f, eV per atom: -0.3578
# DOS(E_F), states/eV per atom: 0.642
data_SrPm2Hg9
_cell_length_a 4.773
_cell_length_b 4.773
_cell_length_c 14.013
_cell_angle_alpha 90.00
_cell_angle_beta 90.00
_cell_angle_gamma 90.00
_symmetry_space_group_name_H-M 'P 1'
_symmetry_Int_Tables_number 1
_symmetry_space_group_name_Hall 'P 1'
loop_
_atom_site_label
_atom_site_type_symbol
_atom_site_fract_x
_atom_site_fract_y
_atom_site_fract_z
_atom_site_occupancy
Hg1 Hg 0.500 0.500 0.342 1
Hg2 Hg 0.500 0.500 0.000 1
Hg3 Hg 0.500 0.000 0.823 1
Pm1 Pm 0.000 0.000 0.663 1
Hg4 Hg 0.500 0.000 0.500 1
Pm2 Pm 0.000 0.000 0.337 1
Hg5 Hg 0.000 0.500 0.177 1
Sr1 Sr 0.000 0.000 0.000 1
Hg6 Hg 0.500 0.000 0.177 1
Hg7 Hg 0.000 0.500 0.823 1
Hg8 Hg 0.500 0.500 0.658 1
Hg9 Hg 0.000 0.500 0.500 1

Entry 10:
# RbBi GGA-PBE optimized geometry
# ΔE_f, eV per atom: -0.3543
# DOS(E_F), states/eV per atom: 0.011
data_RbBi
_cell_length_a 7.526
_cell_length_b 7.641
_cell_length_c 13.404
_cell_angle_alpha 90.00
_cell_angle_beta 90.00
_cell_angle_gamma 90.00
_symmetry_space_group_name_H-M 'P 1'
_symmetry_Int_Tables_number 1
_symmetry_space_group_name_Hall 'P 1'
loop_
_atom_site_label
_atom_site_type_symbol
_atom_site_fract_x
_atom_site_fract_y
_atom_site_fract_z
_atom_site_occupancy
Bi1 Bi 0.204 0.165 0.291 1
Rb1 Rb 0.119 0.920 0.050 1
Rb2 Rb 0.881 0.420 0.450 1
Bi2 Bi 0.912 0.924 0.372 1
Bi3 Bi 0.704 0.335 0.709 1
Bi4 Bi 0.088 0.424 0.128 1
Rb3 Rb 0.619 0.580 0.950 1
Bi5 Bi 0.588 0.076 0.872 1
Rb4 Rb 0.843 0.838 0.668 1
Rb5 Rb 0.381 0.080 0.550 1
Rb6 Rb 0.157 0.338 0.832 1
Bi6 Bi 0.296 0.835 0.791 1
Bi7 Bi 0.412 0.576 0.628 1
Rb7 Rb 0.343 0.662 0.332 1
Rb8 Rb 0.657 0.162 0.168 1
Bi8 Bi 0.796 0.665 0.209 1

Here are the calculated raw total energy numbers, same order: -59.1 -46.3 -53.7 -11.5 -56.2 -19.4 -35.5 -81.2 -18.2 -44.5 (eV/cell).